No. 1
This record from the Alexandria database describes BaBeP after structural relaxation. The functional is PBEsol.

## Properties
SG = P-6m2 (187)

Cell and atoms, written as POSCAR:
```
BaBeP
1.0
3.7970 0.0000 0.0000
-1.8985 3.2883 0.0000
0.0000 0.0000 5.0296
Ba Be P
1 1 1
direct
0.0000 0.0000 0.0000 Ba
0.3333 0.6667 0.5000 Be
0.6667 0.3333 0.5000 P
```

No. 2
This record from the Alexandria database describes BaBeP3 after structural relaxation. The functional is PBEsol.

## Properties
SG = Pm-3m (221)

Cell and atoms, written as POSCAR:
```
BaBeP3
1.0
5.4734 0.0000 0.0000
0.0000 5.4734 0.0000
0.0000 0.0000 5.4734
Ba Be P
1 1 3
direct
0.0000 0.0000 0.0000 Ba
0.5000 0.5000 0.5000 Be
0.0000 0.0000 0.5000 P
0.0000 0.5000 0.0000 P
0.5000 0.0000 0.0000 P
```

What raw total energy values result from the calculations? In sequence: -4.63 -2.66 eV per atom.
What energy of formation from the pure elements values result from the calculations? In sequence: -0.655 2.042 eV per atom.